No. 1
DFT (PBE-GGA) results for CaZrSn2Hg after structural relaxation.

a = 5.535 Å, b = 5.535 Å, c = 6.130 Å
α = 90.00°, β = 90.00°, γ = 90.00°
Sites, in units of the cell vectors:
Ca: 0.000 0.000 0.000
Zr: 0.000 0.000 0.500
Sn: 0.000 0.500 0.500
Sn: 0.500 0.000 0.500
Hg: 0.500 0.500 0.000

For the total energy, the calculation gives -3.459 eV per atom. Its total magnetization is 0.0 Bohr magnetons per cell. Its crystal system is tetragonal. Its formation energy is 1.56 eV per formula unit.

No. 2
DFT (PBE-GGA) results for NaTc2Ni after structural relaxation.

a = 10.107 Å, b = 10.107 Å, c = 10.107 Å
α = 159.58°, β = 159.58°, γ = 29.03°
Sites, in units of the cell vectors:
Na: 0.000 0.000 0.000
Na: 0.750 0.250 0.500
Tc: 0.131 0.125 0.506
Tc: 0.375 0.869 0.994
Tc: 0.619 0.625 0.494
Tc: 0.875 0.381 0.006
Ni: 0.250 0.750 0.500
Ni: 0.500 0.500 0.000

The distance to the lowest polymorph of the same formula is 0.0000 eV per atom. For the total energy, the calculation gives -5.986 eV per atom. Its total magnetization is 0.0 Bohr magnetons per cell. Its crystal system is tetragonal. Its formation energy is 3.89 eV per formula unit.

No. 3
DFT (PBE-GGA) results for KUBeO4 after structural relaxation.

a = 5.991 Å, b = 5.991 Å, c = 5.991 Å
α = 60.00°, β = 60.00°, γ = 60.00°
Sites, in units of the cell vectors:
K: 0.000 0.000 0.000
U: 0.250 0.250 0.250
Be: 0.500 0.500 0.500
O: 0.388 0.388 0.388
O: 0.388 0.388 0.837
O: 0.388 0.837 0.388
O: 0.837 0.388 0.388

For the total energy, the calculation gives -7.489 eV per atom. Its total magnetization is 1.0 Bohr magnetons per cell. Its uncorrected formation energy is -2.354 eV/atom. Its crystal system is cubic.

No. 4
DFT (PBE-GGA) results for Ta2SbTe after structural relaxation.

a = 4.770 Å, b = 4.770 Å, c = 5.802 Å
α = 101.58°, β = 101.58°, γ = 39.95°
Sites, in units of the cell vectors:
Ta: 0.249 0.249 0.256
Ta: 0.751 0.751 0.744
Sb: 0.500 0.500 0.000
Te: 0.000 0.000 0.500

The distance to the lowest polymorph of the same formula is 0.4046 eV per atom. For the total energy, the calculation gives -7.396 eV per atom. Its total magnetization is 0.0 Bohr magnetons per cell. Its uncorrected formation energy is 0.346 eV/atom. Its crystal system is monoclinic.

No. 5
DFT (PBE-GGA) results for LiCeTh2S4 after structural relaxation.

a = 6.899 Å, b = 3.976 Å, c = 6.907 Å
α = 90.00°, β = 109.08°, γ = 90.00°
Sites, in units of the cell vectors:
Li: 0.000 0.000 0.000
Ce: 0.500 0.500 0.000
Th: 0.000 0.500 0.500
Th: 0.500 0.000 0.500
S: 0.237 0.500 0.236
S: 0.243 0.000 0.761
S: 0.757 0.000 0.239
S: 0.763 0.500 0.764

For the total energy, the calculation gives -6.696 eV per atom. Its total magnetization is 0.3 Bohr magnetons per cell. Its uncorrected formation energy is -1.796 eV/atom. Its crystal system is monoclinic.

No. 6
DFT (PBE-GGA) results for Ba3Pr2HoTe6 after structural relaxation.

a = 8.054 Å, b = 8.054 Å, c = 8.315 Å
α = 99.32°, β = 99.32°, γ = 119.90°
Sites, in units of the cell vectors:
Ba: 0.000 0.000 0.000
Ba: 0.329 0.671 0.000
Ba: 0.671 0.329 0.000
Pr: 0.165 0.835 0.500
Pr: 0.835 0.165 0.500
Ho: 0.500 0.500 0.500
Te: 0.103 0.427 0.279
Te: 0.252 0.252 0.725
Te: 0.427 0.103 0.279
Te: 0.573 0.897 0.721
Te: 0.748 0.748 0.275
Te: 0.897 0.573 0.721

For the total energy, the calculation gives -4.789 eV per atom. Its total magnetization is 0.0 Bohr magnetons per cell. Its uncorrected formation energy is -1.559 eV/atom. Its crystal system is monoclinic.

No. 7
DFT (PBE-GGA) results for BeReW2 after structural relaxation.

a = 2.683 Å, b = 4.272 Å, c = 5.212 Å
α = 90.00°, β = 102.63°, γ = 90.00°
Sites, in units of the cell vectors:
Be: 0.000 0.000 0.000
Re: 0.500 0.000 0.500
W: 0.256 0.500 0.757
W: 0.744 0.500 0.243

For the total energy, the calculation gives -10.326 eV per atom. Its total magnetization is 0.0 Bohr magnetons per cell. Its crystal system is monoclinic. Its formation energy is 0.78 eV per formula unit.

No. 8
DFT (PBE-GGA) results for LuPuInSn after structural relaxation.

a = 5.292 Å, b = 5.292 Å, c = 5.292 Å
α = 60.00°, β = 60.00°, γ = 60.00°
Sites, in units of the cell vectors:
Lu: 0.000 0.000 0.000
Pu: 0.500 0.500 0.500
In: 0.250 0.250 0.250
Sn: 0.750 0.750 0.750

For the total energy, the calculation gives -6.722 eV per atom. Its total magnetization is 6.1 Bohr magnetons per cell. Its crystal system is cubic. Its formation energy is -1.29 eV per formula unit.